Here is Li2PbSe after structural relaxation from Alexandria via LeMat-Bulk. Energies are from PBE.

Cell lengths 5.4167, 5.4167, 5.4167 Å; angles 139.43, 122.37, 72.84 degrees
Last column: nearest neighbours and their distance in Å.
Fractional coordinates of all 4 atoms:
Li (0.0382, 0.0382, 0.0000)  2 Se 2.63
Li (0.4618, 0.4618, 0.0000)  2 Se 2.63
Pb (0.7500, 0.2500, 0.5000)  8 Li 3.14-3.20, 4 Se 3.22
Se (0.2500, 0.7500, 0.5000)  4 Li 2.63

- Uncorrected formation energy: -530 meV/atom

***

Here is BeCdGa2 after structural relaxation from Alexandria via LeMat-Bulk. Energies are from PBE.

Cell lengths 4.6488, 4.6488, 4.6488 Å; angles 60.00, 60.00, 60.00 degrees
Last column: nearest neighbours and their distance in Å.
Fractional coordinates of all 4 atoms:
Be (0.0000, 0.0000, 0.0000)  8 Ga 2.85
Ga (0.2500, 0.2500, 0.2500)  4 Cd 2.85, 4 Be 2.85
Ga (0.7500, 0.7500, 0.7500)  4 Be 2.85, 4 Cd 2.85
Cd (0.5000, 0.5000, 0.5000)  8 Ga 2.85

- Raw total energy: -2.260 eV/atom

***

Here is Ca2Zr after structural relaxation from Alexandria via LeMat-Bulk. Energies are from PBE.

Cell lengths 7.8164, 7.8164, 7.8164 Å; angles 90.00, 90.00, 90.00 degrees
Last column: nearest neighbours and their distance in Å.
Fractional coordinates of all 12 atoms:
Ca (0.6451, 0.6451, 0.3549)  3 Zr 3.20
Ca (0.3549, 0.3549, 0.6451)  3 Zr 3.20
Ca (0.1451, 0.8549, 0.6451)  3 Zr 3.20
Ca (0.8549, 0.1451, 0.3549)  3 Zr 3.20
Ca (0.3549, 0.1451, 0.1451)  3 Zr 3.20
Ca (0.6451, 0.8549, 0.8549)  3 Zr 3.20
Ca (0.8549, 0.3549, 0.8549)  3 Zr 3.20
Ca (0.1451, 0.6451, 0.1451)  3 Zr 3.20
Zr (0.0000, 0.0000, 0.0000)  6 Ca 3.20
Zr (0.5000, 0.5000, 0.0000)  6 Ca 3.20
Zr (0.5000, 0.0000, 0.5000)  6 Ca 3.20
Zr (0.0000, 0.5000, 0.5000)  6 Ca 3.20

- Raw total energy: -3.108 eV/atom

***

Here is LiTlW2 after structural relaxation from Alexandria via LeMat-Bulk. Energies are from PBE.

Cell lengths 2.7722, 2.7722, 9.2472 Å; angles 90.00, 90.00, 90.00 degrees
Last column: nearest neighbours and their distance in Å.
Fractional coordinates of all 4 atoms:
Li (0.0000, 0.0000, 0.4943)  4 Li 2.77, 4 W 2.97, 4 Tl 3.02
Tl (0.5000, 0.5000, 0.7426)  4 Tl 2.77, 4 Li 3.02
W (0.0000, 0.0000, 0.0106)  8 W 2.77-2.97
W (0.5000, 0.5000, 0.2525)  8 W 2.77-2.97, 4 Li 2.97

- Raw total energy: -6.900 eV/atom

***

Here is CsKLaRu2 after structural relaxation from Alexandria via LeMat-Bulk. Energies are from PBE.

Cell lengths 5.0261, 5.0261, 6.3654 Å; angles 90.00, 90.00, 90.00 degrees
Last column: nearest neighbours and their distance in Å.
Fractional coordinates of all 5 atoms:
Cs (0.5000, 0.5000, 0.5000)  4 K 3.55
Ru (0.0000, 0.5000, 0.0000)  2 La 2.51
Ru (0.5000, 0.0000, 0.0000)  2 La 2.51
K (0.0000, 0.0000, 0.5000)  2 La 3.18, 4 Cs 3.55
La (0.0000, 0.0000, 0.0000)  4 Ru 2.51

- Raw total energy: -4.017 eV/atom

***

Here is Tb2HPt6 after structural relaxation from Alexandria via LeMat-Bulk. Energies are from PBE.

Cell lengths 5.8757, 5.8757, 5.8757 Å; angles 60.00, 60.00, 60.00 degrees
Last column: nearest neighbours and their distance in Å.
Fractional coordinates of all 9 atoms:
Tb (0.2500, 0.2500, 0.2500)  12 Pt 2.94
Tb (0.7500, 0.7500, 0.7500)  12 Pt 2.94
H (0.0000, 0.0000, 0.0000)  6 Pt 2.10
Pt (0.2525, 0.7475, 0.7475)  1 H 2.10
Pt (0.2525, 0.7475, 0.2525)  1 H 2.10
Pt (0.7475, 0.2525, 0.7475)  1 H 2.10
Pt (0.7475, 0.2525, 0.2525)  1 H 2.10
Pt (0.7475, 0.7475, 0.2525)  1 H 2.10
Pt (0.2525, 0.2525, 0.7475)  1 H 2.10

- Raw total energy: -6.324 eV/atom

***

Here is La2Pr7Ho2 after structural relaxation from Alexandria via LeMat-Bulk. Energies are from PBE.

Cell lengths 7.0872, 7.0872, 9.6335 Å; angles 90.00, 90.00, 122.65 degrees
Last column: nearest neighbours and their distance in Å.
Fractional coordinates of all 11 atoms:
La (0.7515, 0.7515, 0.5000)  2 La 3.38-3.42, 6 Pr 3.55-3.58
La (0.2485, 0.2485, 0.5000)  2 La 3.38-3.42, 6 Pr 3.55-3.58
Pr (0.5000, 0.0000, 0.3153)  5 Pr 3.40-3.79, 2 Ho 3.49, 2 La 3.58
Pr (0.0000, 0.5000, 0.6847)  5 Pr 3.40-3.79, 2 Ho 3.49, 2 La 3.58
Pr (0.5000, 0.0000, 0.6847)  5 Pr 3.40-3.79, 2 Ho 3.49, 2 La 3.58
Pr (0.0000, 0.5000, 0.3153)  5 Pr 3.40-3.79, 2 Ho 3.49, 2 La 3.58
Pr (0.0000, 0.0000, 0.0000)  2 Ho 3.33
Pr (0.5000, 0.5000, 0.8228)  2 Ho 3.35, 1 Pr 3.41, 2 La 3.55
Pr (0.5000, 0.5000, 0.1772)  2 Ho 3.35, 1 Pr 3.41, 2 La 3.55
Ho (0.2681, 0.7319, 0.0000)  7 Pr 3.33-3.49, 2 Ho 3.43
Ho (0.7319, 0.2681, 0.0000)  7 Pr 3.33-3.49, 2 Ho 3.43

- Raw total energy: -4.462 eV/atom

***

Here is CoSn4Sb after structural relaxation from Alexandria via LeMat-Bulk. Energies are from PBE.

Cell lengths 5.8630, 10.6010, 7.0828 Å; angles 125.35, 96.14, 114.22 degrees
Last column: nearest neighbours and their distance in Å.
Fractional coordinates of all 12 atoms:
Co (0.2481, 0.9981, 0.9961)  8 Sn 2.69-2.76, 2 Co 2.93
Co (0.7519, 0.0019, 0.0039)  8 Sn 2.69-2.76, 2 Co 2.93
Sn (0.0634, 0.1224, 0.8072)  2 Co 2.76
Sn (0.7228, 0.7006, 0.5983)  2 Co 2.69-2.70
Sn (0.2438, 0.6848, 0.8072)  2 Co 2.76
Sn (0.3754, 0.8977, 0.5983)  2 Co 2.69-2.70
Sn (0.6246, 0.1023, 0.4017)  2 Co 2.69-2.70
Sn (0.7562, 0.3152, 0.1928)  2 Co 2.76
Sn (0.2772, 0.2994, 0.4017)  2 Co 2.69-2.70
Sn (0.9366, 0.8776, 0.1928)  2 Co 2.76
Sb (0.3015, 0.5515, 0.1031)  4 Sn 3.07-3.19, 2 Sb 3.12
Sb (0.6985, 0.4485, 0.8969)  4 Sn 3.07-3.19, 2 Sb 3.12

- Uncorrected formation energy: 29 meV/atom

***

Here is Zr4AlNi2 after structural relaxation from Alexandria via LeMat-Bulk. Energies are from PBE.

Cell lengths 9.3161, 9.3161, 9.2896 Å; angles 59.86, 59.86, 89.91 degrees
Last column: nearest neighbours and their distance in Å.
Fractional coordinates of all 28 atoms:
Zr (0.6483, 0.3517, 0.2500)  2 Al 2.68, 2 Ni 2.96
Zr (0.0000, 0.5000, 0.5000)  6 Ni 2.78-2.79, 6 Zr 3.03-3.04
Zr (0.8989, 0.6489, 0.2022)  2 Al 2.68, 2 Ni 2.95
Zr (0.1011, 0.3511, 0.7978)  2 Al 2.68, 2 Ni 2.95
Zr (0.3518, 0.1019, 0.7500)  2 Al 2.68, 2 Ni 2.97
Zr (0.6482, 0.8981, 0.2500)  2 Al 2.68, 2 Ni 2.97
Zr (0.3517, 0.6483, 0.7500)  2 Al 2.68, 2 Ni 2.96
Zr (0.1019, 0.3518, 0.2500)  2 Al 2.68, 2 Ni 2.97
Zr (0.6489, 0.8989, 0.7022)  2 Al 2.68, 2 Ni 2.95
Zr (0.8983, 0.1017, 0.7500)  2 Al 2.68, 2 Ni 2.96
Zr (0.3511, 0.1011, 0.2978)  2 Al 2.68, 2 Ni 2.95
Zr (0.5000, 0.5000, 0.0000)  6 Ni 2.78-2.79, 6 Zr 3.03-3.04
Zr (0.5000, 0.0000, 0.0000)  6 Ni 2.78-2.79, 6 Zr 3.03-3.04
Zr (0.5000, 0.5000, 0.5000)  6 Ni 2.78-2.79, 6 Zr 3.03-3.04
Zr (0.1017, 0.8983, 0.2500)  2 Al 2.68, 2 Ni 2.96
Zr (0.8981, 0.6482, 0.7500)  2 Al 2.68, 2 Ni 2.97
Al (0.0000, 0.0000, 0.0000)  6 Zr 2.68
Al (0.0000, 0.0000, 0.5000)  6 Zr 2.68
Al (0.0000, 0.5000, 0.0000)  6 Zr 2.68
Al (0.5000, 0.0000, 0.5000)  6 Zr 2.68
Ni (0.2998, 0.6990, 0.4000)  3 Ni 2.78, 6 Zr 2.78-2.97
Ni (0.7000, 0.5994, 0.5997)  3 Ni 2.78, 6 Zr 2.78-2.97
Ni (0.5994, 0.7000, 0.0997)  3 Ni 2.78, 6 Zr 2.78-2.97
Ni (0.6990, 0.2998, 0.9000)  3 Ni 2.78, 6 Zr 2.78-2.97
Ni (0.3010, 0.7002, 0.1000)  3 Ni 2.78, 6 Zr 2.78-2.97
Ni (0.4006, 0.3000, 0.9003)  3 Ni 2.78, 6 Zr 2.78-2.97
Ni (0.3000, 0.4006, 0.4003)  3 Ni 2.78, 6 Zr 2.78-2.97
Ni (0.7002, 0.3010, 0.6000)  3 Ni 2.78, 6 Zr 2.78-2.97

- Raw total energy: -6.949 eV/atom

***

Here is La3Sb2H2 after structural relaxation from Alexandria via LeMat-Bulk. Energies are from PBE.

Cell lengths 4.1925, 7.9630, 10.5718 Å; angles 90.00, 101.44, 90.00 degrees
Last column: nearest neighbours and their distance in Å.
Fractional coordinates of all 14 atoms:
La (0.2083, 0.7500, 0.4167)  4 H 2.44
La (0.7917, 0.2500, 0.5833)  4 H 2.44
La (0.5852, 0.4717, 0.1705)  1 H 2.31
La (0.4148, 0.5283, 0.8295)  1 H 2.31
La (0.4148, 0.9717, 0.8295)  1 H 2.31
La (0.5852, 0.0283, 0.1705)  1 H 2.31
Sb (0.1715, 0.2500, 0.3430)  6 H 3.21-3.53, 6 La 3.26-3.27
Sb (0.8285, 0.7500, 0.6570)  6 H 3.21-3.53, 6 La 3.26-3.27
Sb (0.9724, 0.2500, 0.9447)  8 La 3.28-3.60
Sb (0.0276, 0.7500, 0.0553)  8 La 3.28-3.60
H (0.6840, 0.8948, 0.3681)  1 H 2.31, 3 La 2.31-2.44
H (0.3160, 0.1052, 0.6319)  1 H 2.31, 3 La 2.31-2.44
H (0.3160, 0.3948, 0.6319)  1 H 2.31, 3 La 2.31-2.44
H (0.6840, 0.6052, 0.3681)  1 H 2.31, 3 La 2.31-2.44

- Raw total energy: -5.082 eV/atom

***

Here is AlPH3 after structural relaxation from Alexandria via LeMat-Bulk. Energies are from PBE.

Cell lengths 3.5247, 3.5247, 3.5247 Å; angles 90.00, 90.00, 90.00 degrees
Last column: nearest neighbours and their distance in Å.
Fractional coordinates of all 5 atoms:
P (0.5000, 0.5000, 0.5000)  12 H 2.49
Al (0.0000, 0.0000, 0.0000)  6 H 1.76
H (0.0000, 0.5000, 0.0000)  2 Al 1.76
H (0.0000, 0.0000, 0.5000)  2 Al 1.76
H (0.5000, 0.0000, 0.0000)  2 Al 1.76

- Raw total energy: -3.142 eV/atom

***

Here is CsHf2S4 after structural relaxation from Alexandria via LeMat-Bulk. Energies are from PBE.

Cell lengths 3.6904, 6.2400, 9.2345 Å; angles 108.46, 101.53, 90.00 degrees
Last column: nearest neighbours and their distance in Å.
Fractional coordinates of all 7 atoms:
Cs (0.5000, 0.5000, 0.0000)  6 S 3.49-3.54, 2 Cs 3.69
Hf (0.2481, 0.2453, 0.4962)  6 S 2.56-2.59
Hf (0.7519, 0.7547, 0.5038)  6 S 2.56-2.59
S (0.6623, 0.0021, 0.3247)  3 Hf 2.57
S (0.3377, 0.9979, 0.6753)  3 Hf 2.57
S (0.1644, 0.5072, 0.3289)  3 Hf 2.56-2.59
S (0.8356, 0.4928, 0.6711)  3 Hf 2.56-2.59

- Uncorrected formation energy: -1592 meV/atom

***

For each record above, in turn, the calculated calculated volume values are 85; 71; 478; 71; 161; 143; 407; 290; 568; 346; 44; 197 Å³/cell.